(one)
Below is an optimized crystal structure of Na2SrF4, with properties calculated at the PBE level.

Unit cell a=3.435 b=5.753 c=10.980 alpha=90.00 beta=90.00 gamma=107.37
Each line ends with the local moment (μB).
Positions (direct):
Na1 0.130 0.260 0.435  0.00
Na2 0.870 0.740 0.935  0.00
Na3 0.130 0.260 0.065  0.00
Na4 0.870 0.740 0.565  0.00
Sr1 0.614 0.229 0.750  0.00
Sr2 0.386 0.771 0.250  0.00
F1 0.781 0.562 0.121  0.01
F2 0.781 0.562 0.379  0.01
F3 0.219 0.438 0.879  0.01
F4 0.219 0.438 0.621  0.01
F5 0.960 0.920 0.750  0.00
F6 0.040 0.080 0.250  0.00
F7 0.500 0.000 0.000  0.08
F8 0.500 0.000 0.500  0.08


(two)
Below is an optimized crystal structure of Na2SrF4, with properties calculated at the PBE level.

Unit cell a=6.464 b=6.464 c=6.464 alpha=108.78 beta=108.79 gamma=110.85
Positions (direct):
Na1 0.625 0.875 0.250
Na2 0.625 0.375 0.750
Na3 0.125 0.375 0.750
Na4 0.625 0.375 0.250
F1 0.933 0.616 0.683
F2 0.317 0.134 0.817
F3 0.933 0.250 0.317
F4 0.384 0.067 0.317
F5 0.750 0.066 0.683
F6 0.316 0.500 0.183
F7 0.867 0.683 0.183
F8 0.501 0.684 0.817
Sr1 0.250 0.750 0.500
Sr2 0.000 0.000 0.000


(three)
Below is an optimized crystal structure of Na2SrF4, with properties calculated at the PBE level.

Unit cell a=4.721 b=4.721 c=7.142 alpha=70.70 beta=70.70 gamma=90.00
Each line ends with the local moment (μB).
Positions (direct):
Sr1 0.000 0.000 0.000  0.00
F1 0.813 0.813 0.374  0.06
F2 0.187 0.187 0.626  0.06
F3 0.000 0.500 0.000  0.00
F4 0.500 0.000 0.000  0.00
Na1 0.646 0.646 0.707  0.00
Na2 0.354 0.354 0.293  0.00


Stability check: which of them is least stable? (three).


(one)
Below is an optimized crystal structure of NaSrF3, with properties calculated at the PBE level.

Unit cell a=4.168 b=4.168 c=4.168 alpha=90.00 beta=90.00 gamma=90.00
Positions (direct):
Sr1 0.500 0.500 0.500
F1 0.000 0.500 0.000
F2 0.000 0.000 0.500
F3 0.500 0.000 0.000
Na1 0.000 0.000 0.000


(two)
Below is an optimized crystal structure of NaSrF3, with properties calculated at the PBE level.

Unit cell a=4.040 b=6.288 c=11.366 alpha=90.00 beta=90.00 gamma=90.00
Positions (direct):
Na1 0.250 0.540 0.587
Na2 0.750 0.460 0.413
Na3 0.750 0.960 0.087
Na4 0.250 0.040 0.913
Sr1 0.250 0.944 0.349
Sr2 0.750 0.056 0.651
Sr3 0.750 0.556 0.849
Sr4 0.250 0.444 0.151
F1 0.750 0.176 0.295
F2 0.250 0.669 0.974
F3 0.250 0.052 0.132
F4 0.250 0.552 0.368
F5 0.250 0.169 0.526
F6 0.750 0.448 0.632
F7 0.250 0.324 0.795
F8 0.750 0.948 0.868
F9 0.750 0.331 0.026
F10 0.750 0.676 0.205
F11 0.750 0.831 0.474
F12 0.250 0.824 0.705


(three)
Below is an optimized crystal structure of NaSrF3, with properties calculated at the PBE level.

Unit cell a=4.725 b=4.725 c=4.725 alpha=90.00 beta=90.00 gamma=90.00
Positions (direct):
Sr1 0.000 0.000 0.000
F1 0.000 0.500 0.000
F2 0.000 0.000 0.500
F3 0.500 0.000 0.000
Na1 0.500 0.500 0.500


(four)
Below is an optimized crystal structure of NaSrF3, with properties calculated at the PBE level.

Unit cell a=6.007 b=7.245 c=7.833 alpha=105.10 beta=90.00 gamma=90.00
Positions (direct):
Na1 0.224 0.895 0.528
Na2 0.776 0.105 0.472
Na3 0.724 0.105 0.972
Na4 0.276 0.895 0.028
Sr1 0.746 0.642 0.160
Sr2 0.254 0.358 0.840
Sr3 0.246 0.358 0.340
Sr4 0.754 0.642 0.660
F1 0.118 0.029 0.303
F2 0.882 0.971 0.697
F3 0.618 0.971 0.197
F4 0.382 0.029 0.803
F5 0.495 0.668 0.425
F6 0.505 0.332 0.575
F7 0.995 0.332 0.075
F8 0.005 0.668 0.925
F9 0.998 0.640 0.403
F10 0.002 0.360 0.597
F11 0.498 0.360 0.097
F12 0.502 0.640 0.903


Stability check: which of them is least stable? (three).


(one)
Below is an optimized crystal structure of NaSrTiF6, with properties calculated at the PBE level.

Unit cell a=5.498 b=9.647 c=10.464 alpha=90.00 beta=90.00 gamma=90.00
Each line ends with the local moment (μB).
Positions (direct):
Na1 0.038 0.647 0.085  0.00
Na2 0.462 0.353 0.585  0.00
Na3 0.962 0.147 0.415  0.00
Na4 0.538 0.853 0.915  0.00
Sr1 0.509 0.310 0.171  0.00
Sr2 0.991 0.690 0.671  0.00
Sr3 0.491 0.810 0.329  0.00
Sr4 0.009 0.190 0.829  0.00
Ti1 0.030 0.995 0.126  0.91
Ti2 0.470 0.005 0.626  0.91
Ti3 0.970 0.495 0.374  0.91
Ti4 0.530 0.505 0.874  0.91
F1 0.217 0.148 0.588  0.00
F2 0.283 0.852 0.088  0.00
F3 0.783 0.648 0.912  0.00
F4 0.717 0.352 0.412  0.00
F5 0.212 0.622 0.294  0.01
F6 0.288 0.378 0.794  0.01
F7 0.788 0.122 0.206  0.01
F8 0.712 0.878 0.706  0.01
F9 0.217 0.160 0.051  0.01
F10 0.283 0.840 0.551  0.01
F11 0.783 0.660 0.449  0.01
F12 0.717 0.340 0.949  0.01
F13 0.178 0.333 0.322  0.01
F14 0.322 0.667 0.822  0.01
F15 0.822 0.833 0.178  0.01
F16 0.678 0.167 0.678  0.01
F17 0.346 0.498 0.033  -0.01
F18 0.154 0.502 0.533  -0.01
F19 0.654 0.998 0.467  -0.01
F20 0.846 0.002 0.967  -0.01
F21 0.209 0.008 0.290  0.00
F22 0.291 0.992 0.790  0.00
F23 0.791 0.508 0.210  0.00
F24 0.709 0.492 0.710  0.00


(two)
Below is an optimized crystal structure of NaSrTiF6, with properties calculated at the PBE level.

Unit cell a=6.040 b=6.040 c=8.689 alpha=90.00 beta=90.00 gamma=120.00
Each line ends with the local moment (μB).
Positions (direct):
Na1 0.000 0.000 0.000  0.00
Na2 0.000 0.000 0.500  0.00
Sr1 0.333 0.667 0.250  0.00
Sr2 0.667 0.333 0.750  0.00
Ti1 0.667 0.333 0.250  0.90
Ti2 0.333 0.667 0.750  0.90
F1 0.676 0.621 0.131  0.00
F2 0.945 0.324 0.131  0.00
F3 0.324 0.945 0.631  0.00
F4 0.055 0.676 0.869  0.00
F5 0.379 0.324 0.369  0.00
F6 0.945 0.621 0.369  0.00
F7 0.621 0.945 0.869  0.00
F8 0.676 0.055 0.369  0.00
F9 0.055 0.379 0.631  0.00
F10 0.379 0.055 0.131  0.00
F11 0.621 0.676 0.631  0.00
F12 0.324 0.379 0.869  0.00


Stability check: which of them is least stable? (two).


(one)
Below is an optimized crystal structure of NaTaF, with properties calculated at the PBE level.

Unit cell a=11.463 b=3.364 c=4.869 alpha=90.00 beta=92.83 gamma=90.00
Positions (direct):
Na1 0.376 0.000 0.218
Na2 0.376 0.500 0.718
Na3 0.627 0.000 0.526
Na4 0.627 0.500 0.026
F1 0.261 0.000 0.575
F2 0.261 0.500 0.075
F3 0.503 0.000 0.877
F4 0.503 0.500 0.377
Ta1 0.885 0.000 0.033
Ta2 0.885 0.500 0.533
Ta3 0.074 0.000 0.555
Ta4 0.074 0.500 0.055


(two)
Below is an optimized crystal structure of NaTaF, with properties calculated at the PBE level.

Unit cell a=2.894 b=22.892 c=2.857 alpha=90.00 beta=99.36 gamma=90.00
Positions (direct):
Na1 0.000 0.203 0.000
Na2 0.000 0.703 0.500
Na3 0.500 0.574 0.500
Na4 0.500 0.074 0.000
F1 0.500 0.251 0.500
F2 0.500 0.751 0.000
F3 0.000 0.627 0.000
F4 0.000 0.127 0.500
Ta1 0.000 0.441 0.000
Ta2 0.000 0.941 0.500
Ta3 0.500 0.346 0.500
Ta4 0.500 0.846 0.000


(three)
Below is an optimized crystal structure of NaTaF, with properties calculated at the PBE level.

Unit cell a=2.908 b=2.998 c=11.252 alpha=90.51 beta=95.07 gamma=109.23
Positions (direct):
Na1 0.273 0.148 0.625
Na2 0.448 0.843 0.369
F1 0.684 0.783 0.750
F2 0.863 0.495 0.500
Ta1 0.820 0.325 0.109
Ta2 0.244 0.797 0.920


Stability check: which of them is least stable? (three).


(one)
Below is an optimized crystal structure of NaTaF, with properties calculated at the PBE level.

Unit cell a=2.882 b=2.818 c=22.796 alpha=90.00 beta=90.00 gamma=90.00
Positions (direct):
Na1 0.000 0.000 0.208
Na2 0.000 0.500 0.708
Na3 0.500 0.000 0.336
Na4 0.500 0.500 0.836
F1 0.500 0.000 0.665
F2 0.500 0.500 0.165
F3 0.000 0.000 0.787
F4 0.000 0.500 0.287
Ta1 0.000 0.000 0.972
Ta2 0.000 0.500 0.472
Ta3 0.500 0.000 0.569
Ta4 0.500 0.500 0.069


(two)
Below is an optimized crystal structure of NaTaF, with properties calculated at the PBE level.

Unit cell a=6.693 b=2.953 c=5.099 alpha=90.00 beta=104.53 gamma=90.00
Positions (direct):
Na1 0.581 0.000 0.722
Na2 0.581 0.500 0.222
F1 0.804 0.000 0.129
F2 0.804 0.500 0.629
Ta1 0.121 0.000 0.233
Ta2 0.121 0.500 0.733


Stability check: which of them is least stable? (two).


(one)
Below is an optimized crystal structure of Na3TcF, with properties calculated at the PBE level.

Unit cell a=5.846 b=5.846 c=5.846 alpha=90.00 beta=90.00 gamma=90.00
Each line ends with the local moment (μB).
Positions (direct):
Na1 0.000 0.500 0.000  -0.01
Na2 0.000 0.000 0.500  -0.02
Na3 0.500 0.000 0.000  0.00
Tc1 0.000 0.000 0.000  2.51
F1 0.500 0.500 0.500  0.00


(two)
Below is an optimized crystal structure of Na3TcF, with properties calculated at the PBE level.

Unit cell a=4.732 b=4.732 c=4.732 alpha=90.00 beta=90.00 gamma=90.00
Each line ends with the local moment (μB).
Positions (direct):
Na1 0.000 0.500 0.000  -0.01
Na2 0.000 0.000 0.500  -0.02
Na3 0.500 0.000 0.000  -0.01
Tc1 0.500 0.500 0.500  2.97
F1 0.000 0.000 0.000  0.00


Stability check: which of them is least stable? (one).


(one)
Below is an optimized crystal structure of NaTcF3, with properties calculated at the PBE level.

Unit cell a=4.234 b=4.234 c=4.234 alpha=90.00 beta=90.00 gamma=90.00
Each line ends with the local moment (μB).
Positions (direct):
Na1 0.500 0.500 0.500  0.00
Tc1 0.000 0.000 0.000  0.89
F1 0.000 0.500 0.000  0.04
F2 0.000 0.000 0.500  0.02
F3 0.500 0.000 0.000  0.06


(two)
Below is an optimized crystal structure of NaTcF3, with properties calculated at the PBE level.

Unit cell a=4.087 b=4.087 c=4.087 alpha=90.00 beta=90.00 gamma=90.00
Each line ends with the local moment (μB).
Positions (direct):
Na1 0.000 0.000 0.000  0.00
Tc1 0.500 0.500 0.500  4.29
F1 0.000 0.500 0.000  0.09
F2 0.000 0.000 0.500  0.06
F3 0.500 0.000 0.000  0.06


Stability check: which of them is least stable? (two).


(one)
Below is an optimized crystal structure of NaTeF5, with properties calculated at the PBE level.

Unit cell a=5.581 b=5.581 c=8.614 alpha=73.70 beta=73.70 gamma=76.85
Positions (direct):
Na1 0.513 0.504 0.284
Na2 0.504 0.513 0.784
Te1 0.955 0.066 0.004
Te2 0.066 0.955 0.504
F1 0.805 0.109 0.819
F2 0.109 0.805 0.319
F3 0.850 0.687 0.617
F4 0.198 0.270 0.826
F5 0.167 0.770 0.917
F6 0.379 0.687 0.525
F7 0.687 0.379 0.025
F8 0.770 0.167 0.417
F9 0.687 0.850 0.117
F10 0.270 0.198 0.326


(two)
Below is an optimized crystal structure of NaTeF5, with properties calculated at the PBE level.

Unit cell a=6.005 b=7.417 c=10.370 alpha=90.00 beta=90.00 gamma=90.00
Positions (direct):
Na1 0.250 0.321 0.997
Na2 0.750 0.679 0.003
Na3 0.750 0.821 0.503
Na4 0.250 0.179 0.497
Te1 0.250 0.853 0.766
Te2 0.750 0.147 0.234
Te3 0.750 0.353 0.734
Te4 0.250 0.647 0.266
F1 0.017 0.850 0.902
F2 0.024 0.948 0.637
F3 0.476 0.552 0.137
F4 0.976 0.448 0.863
F5 0.250 0.396 0.311
F6 0.750 0.604 0.689
F7 0.750 0.896 0.189
F8 0.250 0.104 0.811
F9 0.017 0.650 0.402
F10 0.517 0.350 0.598
F11 0.983 0.150 0.098
F12 0.476 0.948 0.637
F13 0.983 0.350 0.598
F14 0.483 0.650 0.402
F15 0.483 0.850 0.902
F16 0.517 0.150 0.098
F17 0.024 0.552 0.137
F18 0.524 0.448 0.863
F19 0.976 0.052 0.363
F20 0.524 0.052 0.363


Stability check: which of them is least stable? (one).